[1]
## Ac6ZnRh2I3 (PBE-GGA)

Data for a relaxed Ac6ZnRh2I3 crystal.

a b c (Å): 7.7397 7.7397 9.0094
angles (deg): 98.26 98.26 119.95
Fractional coordinates of all 12 atoms:
1 Ac 0.0861 0.4373 0.8121
2 Ac 0.2114 0.2114 0.1873
3 Ac 0.4373 0.0861 0.8121
4 Ac 0.5627 0.9139 0.1879
5 Ac 0.7886 0.7886 0.8127
6 Ac 0.9139 0.5627 0.1879
7 Zn 0.5000 0.5000 0.0000
8 Rh 0.1670 0.8330 0.0000
9 Rh 0.8330 0.1670 0.0000
10 I 0.0000 0.0000 0.5000
11 I 0.3363 0.6637 0.5000
12 I 0.6637 0.3363 0.5000

Summary:
Final energy ... -55.78 eV/cell
Formation energy (no corrections) ... -10.50 eV per formula unit

[2]
## Ac6Ru3I2 (PBE-GGA)

Data for a relaxed Ac6Ru3I2 crystal.

a b c (Å): 7.4834 7.4834 9.1770
angles (deg): 97.89 97.89 119.96
Fractional coordinates of all 11 atoms:
1 Ac 0.0554 0.3937 0.1794
2 Ac 0.2686 0.2686 0.8228
3 Ac 0.3937 0.0554 0.1794
4 Ac 0.6063 0.9446 0.8206
5 Ac 0.7314 0.7314 0.1772
6 Ac 0.9446 0.6063 0.8206
7 Ru 0.0000 0.0000 0.0000
8 Ru 0.3313 0.6687 0.0000
9 Ru 0.6687 0.3313 0.0000
10 I 0.1660 0.8340 0.5000
11 I 0.8340 0.1660 0.5000

Summary:
Final energy ... -61.31 eV/cell
Formation energy (no corrections) ... -5.73 eV per formula unit

What is the final energy in the second record? -61.31 eV/cell

Repeat the first record exactly.
## Ac6ZnRh2I3 (PBE-GGA)

Data for a relaxed Ac6ZnRh2I3 crystal.

a b c (Å): 7.7397 7.7397 9.0094
angles (deg): 98.26 98.26 119.95
Fractional coordinates of all 12 atoms:
1 Ac 0.0861 0.4373 0.8121
2 Ac 0.2114 0.2114 0.1873
3 Ac 0.4373 0.0861 0.8121
4 Ac 0.5627 0.9139 0.1879
5 Ac 0.7886 0.7886 0.8127
6 Ac 0.9139 0.5627 0.1879
7 Zn 0.5000 0.5000 0.0000
8 Rh 0.1670 0.8330 0.0000
9 Rh 0.8330 0.1670 0.0000
10 I 0.0000 0.0000 0.5000
11 I 0.3363 0.6637 0.5000
12 I 0.6637 0.3363 0.5000

Summary:
Final energy ... -55.78 eV/cell
Formation energy (no corrections) ... -10.50 eV per formula unit

Which formula does entry 2 have? Ac6Ru3I2

Which of these has the highest final energy? Ac6ZnRh2I3